[1]
A geometry-optimized YSiAs structure, computed with PBE.

The space group is F-43m (No. 216) and the conventional cell measures 6.720, 6.720 and 6.720 Å, with angles of 90.00, 90.00 and 90.00 degrees. Symmetry generates all atoms from Y at (0.000, 0.000, 0.000), Si at (0.250, 0.250, 0.750) and As at (0.250, 0.250, 0.250).

The crystal system is cubic. The raw formation energy comes out at -0.087 eV/atom.

[2]
A geometry-optimized Rb3PuU3Se8 structure, computed with PBE.

The space group is R-3m (No. 166, hexagonal axes) and the conventional cell measures 8.4724, 8.4724 and 24.3653 Å, with angles of 90.00, 90.00 and 120.00 degrees. Symmetry generates all atoms from Rb at (0.0000, 0.5000, 0.0000), Pu at (0.0000, 0.0000, 0.5000), U at (0.0000, 0.5000, 0.5000), Se at (0.0000, 0.0000, 0.2321) and Se at (0.0080, 0.5040, 0.7689).

The crystal system is trigonal. The raw formation energy comes out at -1.271 eV/atom.

[3]
A geometry-optimized Re2MoHPt structure, computed with PBE.

The space group is P4/mmm (No. 123) and the conventional cell measures 3.966, 3.966 and 3.982 Å, with angles of 90.00, 90.00 and 90.00 degrees. Symmetry generates all atoms from Re at (0.000, 0.500, 0.000), Mo at (0.000, 0.000, 0.500), H at (0.000, 0.000, 0.000) and Pt at (0.500, 0.500, 0.500).

The calculation puts the total DFT energy (no corrections) at -9.0355 eV/atom. The crystal system is tetragonal.

In the order shown, the computed magnetic moment values come out to 0.0000 0.1438 0.0000 μB per atom.